Entry 1:
# K2CdSi (PBE, optimized geometry)
# - crystal system = tetragonal
# - uncorrected energy (eV/atom) = -1.891
data_K2CdSi
_cell_length_a 3.894
_cell_length_b 3.894
_cell_length_c 9.997
_cell_angle_alpha 90.00
_cell_angle_beta 90.00
_cell_angle_gamma 90.00
_space_group_name_H-M_alt 'P 1'
_space_group_IT_number 1
loop_
_space_group_symop_operation_xyz
'x,y,z'
loop_
_atom_site_label
_atom_site_fract_x
_atom_site_fract_y
_atom_site_fract_z
_atom_site_occupancy
K1 0.500 0.500 0.328 1
K2 0.000 0.000 0.926 1
Si1 0.000 0.000 0.589 1
Cd1 0.500 0.500 0.657 1

Entry 2:
# K3CdSi (PBE, optimized geometry)
# - crystal system = cubic
# - energy above the most stable polymorph in this dataset (eV per atom) = 0.0000
data_K3CdSi
_cell_length_a 6.491
_cell_length_b 6.491
_cell_length_c 6.491
_cell_angle_alpha 90.00
_cell_angle_beta 90.00
_cell_angle_gamma 90.00
_space_group_name_H-M_alt 'P 1'
_space_group_IT_number 1
loop_
_space_group_symop_operation_xyz
'x,y,z'
loop_
_atom_site_label
_atom_site_fract_x
_atom_site_fract_y
_atom_site_fract_z
_atom_site_occupancy
Cd1 0.500 0.500 0.500 1
K1 0.000 0.000 0.500 1
K2 0.500 0.000 0.000 1
K3 0.000 0.500 0.000 1
Si1 0.000 0.000 0.000 1

Entry 3:
# K2CdSi (PBE, optimized geometry)
# - crystal system = trigonal
# - uncorrected energy (eV/atom) = -2.107
data_K2CdSi
_cell_length_a 9.425
_cell_length_b 9.425
_cell_length_c 9.425
_cell_angle_alpha 28.36
_cell_angle_beta 28.36
_cell_angle_gamma 28.36
_space_group_name_H-M_alt 'P 1'
_space_group_IT_number 1
loop_
_space_group_symop_operation_xyz
'x,y,z'
loop_
_atom_site_label
_atom_site_fract_x
_atom_site_fract_y
_atom_site_fract_z
_atom_site_occupancy
K1 0.039 0.039 0.039 1
K2 0.211 0.211 0.211 1
Cd1 0.792 0.792 0.792 1
Si1 0.458 0.458 0.458 1